A relaxed structure of K3SbSe3. Source: Alexandria, functional PBEsol.

## Properties
DFT total energy in eV for the cell shown: -104.13
Symmetry: P2_13 (198)
ΔE_f (raw) in eV/atom: -0.93
Total magnetization in μB/cell: 0.00

Unit cell a=9.714 b=9.714 c=9.714 alpha=90.00 beta=90.00 gamma=90.00
Sites, in units of the cell vectors:
K: 0.076 0.076 0.076
K: 0.180 0.320 0.680
K: 0.186 0.686 0.814
K: 0.314 0.314 0.314
K: 0.320 0.680 0.180
K: 0.424 0.924 0.576
K: 0.576 0.424 0.924
K: 0.680 0.180 0.320
K: 0.686 0.814 0.186
K: 0.814 0.186 0.686
K: 0.820 0.820 0.820
K: 0.924 0.576 0.424
Sb: 0.032 0.968 0.468
Sb: 0.468 0.032 0.968
Sb: 0.532 0.532 0.532
Sb: 0.968 0.468 0.032
Se: 0.003 0.222 0.393
Se: 0.107 0.997 0.722
Se: 0.222 0.393 0.003
Se: 0.278 0.607 0.503
Se: 0.393 0.003 0.222
Se: 0.497 0.778 0.893
Se: 0.503 0.278 0.607
Se: 0.607 0.503 0.278
Se: 0.722 0.107 0.997
Se: 0.778 0.893 0.497
Se: 0.893 0.497 0.778
Se: 0.997 0.722 0.107